# AlMo2W | the Alexandria database | GGA-PBEsol | optimized geometry
data_AlMo2W
_chemical_formula_sum 'Al2 Mo4 W2'
_symmetry_space_group_name_H-M 'C m m 2'
_symmetry_Int_Tables_number 35
_cell_length_a 3.1650
_cell_length_b 4.4281
_cell_length_c 8.6940
_cell_angle_alpha 90.00
_cell_angle_beta 90.00
_cell_angle_gamma 90.00
loop_
_symmetry_equiv_pos_as_xyz
'x,y,z'
'-x,-y,z'
'-x,y,z'
'x,-y,z'
'x+1/2,y+1/2,z'
'-x+1/2,-y+1/2,z'
'-x+1/2,y+1/2,z'
'x+1/2,-y+1/2,z'
loop_
_atom_site_label
_atom_site_type_symbol
_atom_site_fract_x
_atom_site_fract_y
_atom_site_fract_z
Al1 Al 0.0000 0.0000 0.0000
Mo1 Mo 0.0000 0.0000 0.4973
Mo2 Mo 0.0000 0.5000 0.2470
W1 W 0.0000 0.5000 0.7498
# Fermi-level density of states: 4.48 states/eV/cell
# ΔH_f (0 K): -18 meV/atom
# total magnetic moment: 0.000 μB per formula unit
# final energy: -10.377 eV/atom